[1]
Entry from Alexandria: Ni2HPd after structural relaxation (GGA-PBE).

a = 2.672 Å, b = 2.672 Å, c = 6.582 Å
α = 78.29°, β = 78.29°, γ = 60.00°
Last column: magnetic moment on the atom in μB.
Atoms (fractional coordinates):
Ni 0.280 0.280 0.161  0.36
Ni 0.720 0.720 0.839  0.36
H 0.000 0.000 0.000  0.00
Pd 0.500 0.500 0.500  0.10

As for the density of states at the Fermi level: 1.705 states/eV/atom.



[2]
Entry from Alexandria: Tc5Os after structural relaxation (GGA-PBE).

a = 5.106 Å, b = 5.453 Å, c = 7.954 Å
α = 110.02°, β = 79.46°, γ = 122.28°
Atoms (fractional coordinates):
Tc 0.750 0.500 0.250
Tc 0.250 0.583 0.417
Tc 0.750 0.916 0.583
Tc 0.750 0.084 0.917
Tc 0.250 0.500 0.750
Tc 0.250 0.084 0.417
Tc 0.750 0.417 0.583
Tc 0.250 0.417 0.083
Tc 0.750 0.583 0.917
Tc 0.250 0.916 0.083
Os 0.750 0.000 0.250
Os 0.250 0.000 0.750

The calculation puts the formation enthalpy at 0 K at 67 meV/atom. As for the density of states at the Fermi level: 0.421 states/eV/atom.



Number 1: offset from the most stable computed form 0.00 eV per formula unit. Number 2: offset from the most stable computed form 0.57 eV per formula unit.